Record 1
# Er5Pd2Au

Er5Pd2Au after structural relaxation (GGA-PBE, Alexandria).

Properties
* symmetry: No. 140
* formation energy from the elements: -0.700 eV per atom

Lattice parameters (Å, degrees): 8.541 8.541 8.541 126.62 126.62 78.87
Atoms (fractional coordinates):
Er1 0.000 0.000 0.000
Er2 0.017 0.517 0.823
Er3 0.195 0.017 0.500
Er4 0.305 0.805 0.823
Er5 0.483 0.305 0.500
Er6 0.500 0.500 0.000
Er7 0.517 0.695 0.500
Er8 0.695 0.195 0.177
Er9 0.805 0.983 0.500
Er10 0.983 0.483 0.177
Pd1 0.134 0.366 0.500
Pd2 0.366 0.866 0.232
Pd3 0.634 0.134 0.768
Pd4 0.866 0.634 0.500
Au1 0.250 0.250 0.000
Au2 0.750 0.750 0.000


Record 2
# CdHg

CdHg after structural relaxation (GGA-PBE, Alexandria).

Properties
* symmetry: No. 166
* formation energy from the elements: 0.073 eV per atom

Lattice parameters (Å, degrees): 5.828 5.828 5.828 49.13 49.13 49.13
Atoms (fractional coordinates):
Cd1 0.107 0.107 0.107
Cd2 0.893 0.893 0.893
Hg1 0.299 0.299 0.299
Hg2 0.701 0.701 0.701